{
  "formula": "Na2Pm2CrO6",
  "functional": "PBE+U",
  "state": "relaxed",
  "cell": [[2.940, -5.056, 0.000], [2.940, 5.056, 0.000], [-1.319, 0.000, 5.694]],
  "species": ["Na", "Na", "Pm", "Pm", "Cr", "O", "O", "O", "O", "O", "O"],
  "fractional_positions": [[0.139, 0.861, 0.000], [0.861, 0.139, 0.000], [0.335, 0.665, 0.500], [0.665, 0.335, 0.500], [0.000, 0.000, 0.500], [0.037, 0.337, 0.689], [0.227, 0.227, 0.307], [0.337, 0.037, 0.689], [0.663, 0.963, 0.311], [0.773, 0.773, 0.693], [0.963, 0.663, 0.311]],
  "e_tot_ev_per_cell": -74.76
}